Entry 1:
CsInTeCl2 | GGA-PBE | relaxed

Values from the calculation:
The calculated volume comes out at 34.7 Å³/atom. For the formation energy (no corrections), the calculation gives -481 kJ/mol of formula units. Its density of states at the Fermi level is 4.84 states/eV/f.u.

Structure (CIF):
```
data_CsInTeCl2
_space_group_name_H-M_alt 'P 4/m m m'
_space_group_IT_number 123
_space_group_name_Hall '-P 4 2'
_cell_length_a 5.514
_cell_length_b 5.514
_cell_length_c 5.714
_cell_angle_alpha 90.00
_cell_angle_beta 90.00
_cell_angle_gamma 90.00
loop_
_atom_site_label
_atom_site_fract_x
_atom_site_fract_y
_atom_site_fract_z
Cs1 0.000 0.000 0.000
In1 0.500 0.500 0.500
Te1 0.500 0.500 0.000
Cl1 0.000 0.500 0.500
```

Entry 2:
CsThIn2Cl8 | GGA-PBE | relaxed

Values from the calculation:
The calculated volume comes out at 38.9 Å³/atom. For the formation energy (no corrections), the calculation gives -1806 kJ/mol of formula units. Its density of states at the Fermi level is 5.59 states/eV/f.u.

Structure (CIF):
```
data_CsThIn2Cl8
_space_group_name_H-M_alt 'P -1'
_space_group_IT_number 2
_cell_length_a 6.906
_cell_length_b 7.060
_cell_length_c 9.643
_cell_angle_alpha 86.24
_cell_angle_beta 84.74
_cell_angle_gamma 86.83
loop_
_space_group_symop_operation_xyz
'x,y,z'
'-x,-y,-z'
loop_
_atom_site_label
_atom_site_fract_x
_atom_site_fract_y
_atom_site_fract_z
Cs1 0.000 0.000 0.000
Th1 0.000 0.000 0.500
In1 0.478 0.486 0.229
Cl1 0.221 0.831 0.695
Cl2 0.226 0.299 0.481
Cl3 0.236 0.846 0.291
Cl4 0.296 0.379 0.010
```

Entry 3:
CsThInCl6 | GGA-PBE | relaxed

Values from the calculation:
The calculated volume comes out at 42.8 Å³/atom. For the formation energy (no corrections), the calculation gives -1640 kJ/mol of formula units. Its density of states at the Fermi level is 0.00 states/eV/f.u.

Structure (CIF):
```
data_CsThInCl6
_space_group_name_H-M_alt 'P -3 1 c'
_space_group_IT_number 163
_space_group_name_Hall '-P 3 2c'
_cell_length_a 7.9533
_cell_length_b 7.9533
_cell_length_c 14.0611
_cell_angle_alpha 90.00
_cell_angle_beta 90.00
_cell_angle_gamma 120.00
loop_
_atom_site_label
_atom_site_fract_x
_atom_site_fract_y
_atom_site_fract_z
Cs1 0.0000 0.0000 0.0000
Th1 0.3333 0.6667 0.2500
In1 0.3333 0.6667 0.7500
Cl1 0.0472 0.3938 0.1411
```

Entry 4:
Cs2TiInCl6 | GGA-PBE | relaxed

Values from the calculation:
The calculated volume comes out at 33.2 Å³/atom. For the formation energy (no corrections), the calculation gives -1570 kJ/mol of formula units. Its density of states at the Fermi level is 8.30 states/eV/f.u. The energy above the most stable polymorph in this dataset is 2.5 meV per atom.

Structure (CIF):
```
data_Cs2TiInCl6
_space_group_name_H-M_alt 'F m -3 m'
_space_group_IT_number 225
_space_group_name_Hall '-F 4 2 3'
_cell_length_a 10.987
_cell_length_b 10.987
_cell_length_c 10.987
_cell_angle_alpha 90.00
_cell_angle_beta 90.00
_cell_angle_gamma 90.00
loop_
_atom_site_label
_atom_site_fract_x
_atom_site_fract_y
_atom_site_fract_z
Cs1 0.250 0.250 0.250
Ti1 0.000 0.000 0.000
In1 0.000 0.000 0.500
Cl1 0.000 0.000 0.222
```

Entry 5:
CsTiInCl6 | GGA-PBE | relaxed

Values from the calculation:
The calculated volume comes out at 35.3 Å³/atom. For the formation energy (no corrections), the calculation gives -1279 kJ/mol of formula units. Its density of states at the Fermi level is 0.00 states/eV/f.u.

Structure (CIF):
```
data_CsTiInCl6
_space_group_name_H-M_alt 'P 3 1 2'
_space_group_IT_number 149
_cell_length_a 7.7043
_cell_length_b 7.7043
_cell_length_c 6.1878
_cell_angle_alpha 90.00
_cell_angle_beta 90.00
_cell_angle_gamma 120.00
loop_
_space_group_symop_operation_xyz
'x,y,z'
'-y,x-y,z'
'-x+y,-x,z'
'-y,-x,-z'
'-x+y,y,-z'
'x,x-y,-z'
loop_
_atom_site_label
_atom_site_fract_x
_atom_site_fract_y
_atom_site_fract_z
Cs1 0.0000 0.0000 0.0000
Ti1 0.6667 0.3333 0.0000
In1 0.3333 0.6667 0.5000
Cl1 0.4275 0.0746 0.7747
```

Entry 6:
CsTiIn2Cl6 | GGA-PBE | relaxed

Values from the calculation:
The calculated volume comes out at 34.5 Å³/atom. For the formation energy (no corrections), the calculation gives -1302 kJ/mol of formula units. Its density of states at the Fermi level is 6.52 states/eV/f.u.

Structure (CIF):
```
data_CsTiIn2Cl6
_space_group_name_H-M_alt 'P 1'
_space_group_IT_number 1
_cell_length_a 7.719
_cell_length_b 7.750
_cell_length_c 8.003
_cell_angle_alpha 90.07
_cell_angle_beta 118.83
_cell_angle_gamma 119.84
loop_
_space_group_symop_operation_xyz
'x,y,z'
loop_
_atom_site_label
_atom_site_fract_x
_atom_site_fract_y
_atom_site_fract_z
Cs1 0.000 0.000 0.000
Ti1 0.974 0.487 0.460
In1 0.572 0.286 0.856
In2 0.596 0.798 0.395
Cl1 0.080 0.422 0.230
Cl2 0.092 0.284 0.660
Cl3 0.376 0.808 0.658
Cl4 0.575 0.153 0.229
Cl5 0.806 0.654 0.227
Cl6 0.850 0.569 0.658
```

no.,VASP energy (eV/f.u.)
1,-15.410
2,-47.242
3,-39.093
4,-39.697
5,-35.819
6,-38.799